Model i:
Computed, not measured: a relaxed AgHg3As crystal at the PBE level of DFT.

```
data_AgHg3As
_chemical_formula_sum 'Ag1 Hg3 As1'
_cell_length_a 5.446
_cell_length_b 5.446
_cell_length_c 5.446
_cell_angle_alpha 90.00
_cell_angle_beta 90.00
_cell_angle_gamma 90.00
_space_group_name_H-M_alt 'P m -3 m'
_space_group_IT_number 221
_space_group_name_Hall '-P 4 2 3'
loop_
_atom_site_label
_atom_site_type_symbol
_atom_site_fract_x
_atom_site_fract_y
_atom_site_fract_z
Ag1 Ag 0.000 0.000 0.000
Hg1 Hg 0.000 0.000 0.500
As1 As 0.500 0.500 0.500
```

## Properties
Magnetic moment = 2.30 μB per formula unit
D(E_F) = 2.2 states/eV/cell
Crystal system = cubic
Volume = 161.5 Å³ per cell
Density = 8.06 g/cm³

***

Model ii:
Computed, not measured: a relaxed AgHg3As crystal at the PBE level of DFT.

```
data_AgHg3As
_chemical_formula_sum 'Ag1 Hg3 As1'
_cell_length_a 5.348
_cell_length_b 5.348
_cell_length_c 5.348
_cell_angle_alpha 90.00
_cell_angle_beta 90.00
_cell_angle_gamma 90.00
_space_group_name_H-M_alt 'P m -3 m'
_space_group_IT_number 221
_space_group_name_Hall '-P 4 2 3'
loop_
_atom_site_label
_atom_site_type_symbol
_atom_site_fract_x
_atom_site_fract_y
_atom_site_fract_z
Ag1 Ag 0.000 0.000 0.000
Hg1 Hg 0.000 0.500 0.500
As1 As 0.500 0.500 0.500
```

## Properties
Magnetic moment = 0.00 μB per formula unit
D(E_F) = 2.1 states/eV/cell
Crystal system = cubic
Volume = 153.0 Å³ per cell
Density = 8.52 g/cm³

***

So which one wins? Going from most stable to least: model ii, model i.